[1]
Here is a relaxed Cd2PHAu crystal from the Alexandria database. Energies are from PBE.

Geometry as extended XYZ:
```
5
Lattice="4.896 0.000 0.000 0.000 3.611 0.000 0.000 0.000 4.896" Properties=species:S:1:pos:R:3 pbc="T T T"
Cd 0.000 0.000 2.448
Cd 2.448 0.000 0.000
H 0.000 0.000 0.000
Au 0.000 1.805 0.000
P 2.448 1.805 2.448
```

Output
The value obtained for the calculated volume is 86.5 Å³/f.u. The total DFT energy (no corrections) is -2.44 eV/atom.

[2]
Here is a relaxed CdPHAu2 crystal from the Alexandria database. Energies are from PBE.

Geometry as extended XYZ:
```
5
Lattice="5.002 0.000 0.000 0.000 5.002 0.000 0.000 0.000 3.250" Properties=species:S:1:pos:R:3 pbc="T T T"
P 0.000 0.000 0.000
Au 2.501 0.000 0.000
Au 0.000 2.501 0.000
Cd 2.501 2.501 1.625
H 0.000 0.000 1.625
```

Output
The value obtained for the calculated volume is 81.3 Å³/f.u. The total DFT energy (no corrections) is -3.19 eV/atom.